(1)
Material: HfPa2Ga
Method: DFT, PBE
State: optimized geometry

Cell and atoms, written as POSCAR:
```
HfPa2Ga
1.0
-0.941 -1.359 3.465
-0.959 -3.365 -1.580
5.979 -2.083 0.807
Ga Pa Hf
1 2 1
direct
0.500 0.500 0.000
0.000 0.000 0.218
0.000 0.000 0.782
0.500 0.500 0.500
```

Density of states at the Fermi level ... 2.111 states/eV per atom
Formation energy from the elements ... 0.0289 eV per atom
Volume ... 94.06 Å³ per cell
Offset from the most stable computed form ... 198 meV/atom

=====

(2)
Material: Na3Cd2TcO6
Method: DFT, PBE
State: optimized geometry

Cell and atoms, written as POSCAR:
```
Na3Cd2TcO6
1.0
5.744 0.008 -0.016
-2.864 4.979 -0.016
-0.976 -1.690 5.433
O Na Cd Tc
6 3 2 1
direct
0.361 0.071 0.216
0.929 0.639 0.784
0.217 0.217 0.794
0.783 0.783 0.206
0.639 0.929 0.784
0.071 0.361 0.216
0.167 0.833 0.500
0.500 0.500 0.500
0.833 0.167 0.500
0.332 0.668 0.000
0.668 0.332 0.000
0.000 0.000 0.000
```

Density of states at the Fermi level ... 0.395 states/eV per atom
Volume ... 155.14 Å³ per cell
Uncorrected formation energy ... -1.36 eV per atom